Material: DyTmMg
Method: DFT, PBE
State: relaxed

Properties
Total DFT energy (no corrections) in hartree per atom: -0.132
Crystal system: orthorhombic
Energy relative to the lowest polymorph listed for this composition in meV/atom: 7.2
SG: No. 63

Cell: 8.835 8.835 5.433 Å, 90.00 90.00 156.52°
Atoms (fractional coordinates):
Mg 0.062 0.938 0.250
Mg 0.938 0.062 0.750
Dy 0.726 0.274 0.250
Dy 0.274 0.726 0.750
Tm 0.598 0.402 0.750
Tm 0.402 0.598 0.250


Material: ZrS2O8
Method: DFT, PBE
State: relaxed

Properties
Total DFT energy (no corrections) in hartree per atom: -0.256
Crystal system: orthorhombic
SG: No. 62

Cell: 8.582 5.443 10.857 Å, 90.00 90.00 90.00°
Atoms (fractional coordinates):
O 0.835 0.972 0.485
O 0.665 0.028 0.985
O 0.897 0.032 0.166
O 0.603 0.968 0.666
O 0.665 0.472 0.985
O 0.103 0.968 0.834
O 0.103 0.532 0.834
O 0.429 0.750 0.534
O 0.165 0.028 0.515
O 0.897 0.468 0.166
O 0.397 0.468 0.334
O 0.611 0.250 0.242
O 0.071 0.250 0.034
O 0.835 0.528 0.485
O 0.231 0.750 0.188
O 0.929 0.750 0.966
O 0.603 0.532 0.666
O 0.009 0.750 0.354
O 0.397 0.032 0.334
O 0.165 0.472 0.515
O 0.731 0.750 0.312
O 0.889 0.750 0.742
O 0.111 0.250 0.258
O 0.769 0.250 0.812
O 0.509 0.750 0.146
O 0.389 0.750 0.758
O 0.491 0.250 0.854
O 0.571 0.250 0.466
O 0.269 0.250 0.688
O 0.991 0.250 0.646
O 0.335 0.972 0.015
O 0.335 0.528 0.015
S 0.502 0.250 0.341
S 0.852 0.750 0.409
S 0.648 0.250 0.909
S 0.352 0.750 0.091
S 0.148 0.250 0.591
S 0.002 0.250 0.159
S 0.498 0.750 0.659
S 0.998 0.750 0.841
Zr 0.253 0.750 0.393
Zr 0.247 0.250 0.893
Zr 0.753 0.750 0.107
Zr 0.747 0.250 0.607


Material: Tb2TmGa3PtAu2
Method: DFT, PBE
State: relaxed

Properties
Total DFT energy (no corrections) in hartree per atom: -0.177
Crystal system: orthorhombic
SG: No. 38

Cell: 3.855 7.429 7.429 Å, 119.82 90.00 90.00°
Atoms (fractional coordinates):
Tm 0.000 0.601 0.601
Au 0.500 0.665 0.337
Au 0.500 0.337 0.665
Ga 0.500 0.999 0.749
Ga 0.500 0.749 0.999
Ga 0.500 0.250 0.250
Tb 0.000 0.402 0.000
Tb 0.000 0.000 0.402
Pt 0.000 0.996 0.996


Material: LiTaTlIr
Method: DFT, PBE
State: relaxed

Properties
Total DFT energy (no corrections) in hartree per atom: -0.234
Crystal system: cubic
Energy relative to the lowest polymorph listed for this composition in meV/atom: 0.0
SG: No. 216

Cell: 4.529 4.529 4.529 Å, 60.00 60.00 60.00°
Atoms (fractional coordinates):
Li 0.750 0.750 0.750
Ir 0.250 0.250 0.250
Ta 0.000 0.000 0.000
Tl 0.500 0.500 0.500


Material: HfHg
Method: DFT, PBE
State: relaxed

Properties
Total DFT energy (no corrections) in hartree per atom: -0.146
Crystal system: cubic
ΔE_f in eV per atom: 1.145
SG: No. 216

Cell: 4.448 4.448 4.448 Å, 60.00 60.00 60.00°
Atoms (fractional coordinates):
Hf 0.000 0.000 0.000
Hg 0.250 0.250 0.250


Material: TlIn2Ni4
Method: DFT, PBE
State: relaxed

Properties
Total DFT energy (no corrections) in hartree per atom: -0.151
Crystal system: tetragonal
SG: No. 111

Cell: 6.463 6.463 2.906 Å, 90.00 90.00 90.00°
Atoms (fractional coordinates):
Ni 0.651 0.651 0.264
Ni 0.349 0.349 0.264
Ni 0.651 0.349 0.736
Ni 0.349 0.651 0.736
Tl 0.000 0.000 0.000
In 0.500 0.000 0.000
In 0.000 0.500 0.000


Material: KNaNb
Method: DFT, PBE
State: relaxed

Properties
Total DFT energy (no corrections) in hartree per atom: -0.092
Crystal system: cubic
SG: No. 216

Cell: 5.641 5.641 5.641 Å, 60.00 60.00 60.00°
Atoms (fractional coordinates):
Na 0.750 0.750 0.750
Nb 0.000 0.000 0.000
K 0.250 0.250 0.250


Material: TbSnTe3Au
Method: DFT, PBE
State: relaxed

Properties
Total DFT energy (no corrections) in hartree per atom: -0.154
Crystal system: orthorhombic
Energy relative to the lowest polymorph listed for this composition in meV/atom: 31.5
SG: No. 62

Cell: 10.310 4.458 16.678 Å, 90.00 90.00 90.00°
Atoms (fractional coordinates):
Te 0.476 0.750 0.878
Te 0.366 0.250 0.534
Te 0.181 0.250 0.795
Te 0.134 0.750 0.034
Te 0.866 0.250 0.966
Te 0.319 0.750 0.295
Te 0.024 0.250 0.378
Te 0.681 0.250 0.705
Te 0.634 0.750 0.466
Te 0.976 0.750 0.622
Te 0.524 0.250 0.122
Te 0.819 0.750 0.205
Sn 0.666 0.250 0.283
Sn 0.334 0.750 0.717
Sn 0.834 0.750 0.783
Sn 0.166 0.250 0.217
Tb 0.694 0.750 0.034
Tb 0.806 0.250 0.534
Tb 0.306 0.250 0.966
Tb 0.194 0.750 0.466
Au 0.124 0.250 0.596
Au 0.376 0.750 0.096
Au 0.624 0.250 0.904
Au 0.876 0.750 0.404


Material: KTe3PdAu
Method: DFT, PBE
State: relaxed

Properties
Total DFT energy (no corrections) in hartree per atom: -0.129
Crystal system: orthorhombic
SG: No. 63

Cell: 8.011 8.011 11.335 Å, 90.00 90.00 29.85°
Atoms (fractional coordinates):
Te 0.051 0.051 0.750
Te 0.949 0.949 0.250
Te 0.614 0.614 0.481
Te 0.614 0.614 0.019
Te 0.386 0.386 0.981
Te 0.386 0.386 0.519
Au 0.422 0.422 0.750
Au 0.578 0.578 0.250
Pd 0.000 0.000 0.500
Pd 0.000 0.000 0.000
K 0.250 0.250 0.250
K 0.750 0.750 0.750


Material: KZrAuO3
Method: DFT, PBE
State: relaxed

Properties
Total DFT energy (no corrections) in hartree per atom: -0.244
Crystal system: orthorhombic
SG: No. 62

Cell: 3.270 10.209 12.076 Å, 90.00 90.00 90.00°
Atoms (fractional coordinates):
O 0.250 0.807 0.869
O 0.250 0.938 0.074
O 0.750 0.711 0.084
O 0.250 0.289 0.916
O 0.250 0.211 0.416
O 0.750 0.438 0.426
O 0.750 0.062 0.926
O 0.750 0.307 0.631
O 0.250 0.693 0.369
O 0.750 0.193 0.131
O 0.250 0.562 0.574
O 0.750 0.789 0.584
Zr 0.750 0.637 0.464
Zr 0.250 0.137 0.036
Zr 0.750 0.863 0.964
Zr 0.250 0.363 0.536
K 0.250 0.129 0.750
K 0.750 0.871 0.250
K 0.750 0.629 0.750
K 0.250 0.371 0.250
Au 0.750 0.414 0.965
Au 0.750 0.086 0.465
Au 0.250 0.914 0.535
Au 0.250 0.586 0.035


Material: Rb2Te2WSe
Method: DFT, PBE
State: relaxed

Properties
Total DFT energy (no corrections) in hartree per atom: -0.172
Crystal system: triclinic
SG: No. 2

Cell: 7.494 8.176 9.382 Å, 74.83 69.43 67.50°
Site moments in Bohr magnetons follow the coordinates.
Atoms (fractional coordinates):
Te 0.382 0.819 0.904  0.00
Te 0.618 0.181 0.096  0.00
Te 0.173 0.368 0.719  0.00
Te 0.827 0.632 0.281  0.00
Rb 0.905 0.812 0.862  0.00
Rb 0.095 0.188 0.138  0.00
Rb 0.344 0.561 0.311  0.00
Rb 0.656 0.439 0.689  0.00
Se 0.733 0.039 0.516  -0.02
Se 0.267 0.961 0.484  -0.02
W 0.389 0.047 0.652  0.14
W 0.611 0.953 0.348  0.14


Material: PuCo
Method: DFT, PBE
State: relaxed

Properties
Total DFT energy (no corrections) in hartree per atom: -0.361
Crystal system: cubic
ΔE_f in eV per atom: 0.804
SG: No. 216

Cell: 3.919 3.919 3.919 Å, 60.00 60.00 60.00°
Atoms (fractional coordinates):
Pu 0.250 0.250 0.250
Co 0.000 0.000 0.000


Material: BeCu2Bi
Method: DFT, PBE
State: relaxed

Properties
Total DFT energy (no corrections) in hartree per atom: -0.129
Crystal system: cubic
Energy relative to the lowest polymorph listed for this composition in meV/atom: 0.0
SG: No. 221

Cell: 6.329 6.329 6.329 Å, 90.00 90.00 90.00°
Atoms (fractional coordinates):
Cu 0.799 0.799 0.799
Cu 0.201 0.201 0.799
Cu 0.799 0.799 0.201
Cu 0.201 0.799 0.799
Cu 0.201 0.799 0.201
Cu 0.799 0.201 0.201
Cu 0.201 0.201 0.201
Cu 0.799 0.201 0.799
Bi 0.000 0.500 0.500
Bi 0.500 0.500 0.500
Bi 0.500 0.500 0.000
Bi 0.500 0.000 0.500
Be 0.000 0.000 0.000
Be 0.000 0.500 0.000
Be 0.500 0.000 0.000
Be 0.000 0.000 0.500


Material: BaTmAgTe3
Method: DFT, PBE
State: relaxed

Properties
Total DFT energy (no corrections) in hartree per atom: -0.160
Crystal system: monoclinic
SG: No. 11

Cell: 8.670 4.472 10.728 Å, 90.00 106.92 90.00°
Atoms (fractional coordinates):
Ag 0.080 0.250 0.593
Ag 0.920 0.750 0.407
Te 0.271 0.750 0.549
Te 0.562 0.250 0.862
Te 0.076 0.250 0.856
Te 0.438 0.750 0.138
Te 0.729 0.250 0.451
Te 0.924 0.750 0.144
Tm 0.311 0.750 0.841
Tm 0.689 0.250 0.159
Ba 0.239 0.250 0.287
Ba 0.761 0.750 0.713


Material: Gd2Y2Al3
Method: DFT, PBE
State: relaxed

Properties
Total DFT energy (no corrections) in hartree per atom: -0.183
Crystal system: monoclinic
SG: No. 12

Cell: 6.554 6.554 6.660 Å, 111.77 111.77 44.59°
Atoms (fractional coordinates):
Al 0.000 0.000 0.500
Al 0.785 0.785 0.166
Al 0.215 0.215 0.834
Y 0.455 0.455 0.219
Y 0.545 0.545 0.781
Gd 0.179 0.179 0.295
Gd 0.821 0.821 0.705


Material: LuCoNiPb
Method: DFT, PBE
State: relaxed

Properties
Total DFT energy (no corrections) in hartree per atom: -0.186
Crystal system: cubic
Energy relative to the lowest polymorph listed for this composition in meV/atom: 304.9
SG: No. 216

Cell: 4.647 4.647 4.647 Å, 60.00 60.00 60.00°
Site moments in Bohr magnetons follow the coordinates.
Atoms (fractional coordinates):
Pb 0.000 0.000 0.000  -0.01
Lu 0.250 0.250 0.250  -0.03
Ni 0.500 0.500 0.500  0.19
Co 0.750 0.750 0.750  1.29


Material: Ba3Zn2Sn4
Method: DFT, PBE
State: relaxed

Properties
Total DFT energy (no corrections) in hartree per atom: -0.120
Crystal system: monoclinic
SG: No. 12

Cell: 6.990 6.990 9.682 Å, 96.27 96.27 39.87°
Atoms (fractional coordinates):
Sn 0.295 0.295 0.945
Sn 0.937 0.937 0.616
Sn 0.063 0.063 0.384
Sn 0.705 0.705 0.055
Ba 0.660 0.660 0.670
Ba 0.000 0.000 0.000
Ba 0.340 0.340 0.330
Zn 0.380 0.380 0.706
Zn 0.620 0.620 0.294


Material: AcUN3
Method: DFT, PBE
State: relaxed

Properties
Total DFT energy (no corrections) in hartree per atom: -0.347
Crystal system: cubic
SG: No. 221

Cell: 4.302 4.302 4.302 Å, 90.00 90.00 90.00°
Atoms (fractional coordinates):
N 0.000 0.000 0.500
N 0.500 0.000 0.000
N 0.000 0.500 0.000
U 0.000 0.000 0.000
Ac 0.500 0.500 0.500


Material: GdGeSO
Method: DFT, PBE
State: relaxed

Properties
Total DFT energy (no corrections) in hartree per atom: -0.229
Crystal system: orthorhombic
Energy relative to the lowest polymorph listed for this composition in meV/atom: 0.4
SG: No. 61

Cell: 6.411 7.577 14.006 Å, 90.00 90.00 90.00°
Atoms (fractional coordinates):
Ge 0.680 0.558 0.018
Ge 0.320 0.942 0.518
Ge 0.320 0.442 0.982
Ge 0.820 0.058 0.982
Ge 0.820 0.558 0.518
Ge 0.680 0.058 0.482
Ge 0.180 0.442 0.482
Ge 0.180 0.942 0.018
O 0.666 0.636 0.262
O 0.334 0.864 0.762
O 0.834 0.136 0.738
O 0.666 0.136 0.238
O 0.166 0.364 0.238
O 0.334 0.364 0.738
O 0.166 0.864 0.262
O 0.834 0.636 0.762
Gd 0.168 0.621 0.718
Gd 0.668 0.379 0.782
Gd 0.832 0.379 0.282
Gd 0.832 0.879 0.218
Gd 0.168 0.121 0.782
Gd 0.332 0.621 0.218
Gd 0.332 0.121 0.282
Gd 0.668 0.879 0.718
S 0.011 0.171 0.425
S 0.489 0.171 0.925
S 0.011 0.671 0.075
S 0.989 0.329 0.925
S 0.511 0.829 0.075
S 0.989 0.829 0.575
S 0.511 0.329 0.425
S 0.489 0.671 0.575


Material: Nd3Gd2YNiTe2
Method: DFT, PBE
State: relaxed

Properties
Total DFT energy (no corrections) in hartree per atom: -0.198
Crystal system: orthorhombic
SG: No. 38

Cell: 3.999 8.519 8.519 Å, 119.83 90.00 90.00°
Atoms (fractional coordinates):
Y 0.000 0.761 0.761
Nd 0.500 0.407 0.407
Nd 0.500 0.592 0.001
Nd 0.500 0.001 0.592
Gd 0.000 0.000 0.237
Gd 0.000 0.237 0.000
Ni 0.500 0.000 0.000
Te 0.000 0.335 0.667
Te 0.000 0.667 0.335


Material: HfZnCuPb
Method: DFT, PBE
State: relaxed

Properties
Total DFT energy (no corrections) in hartree per atom: -0.160
Crystal system: cubic
Energy relative to the lowest polymorph listed for this composition in meV/atom: 53.0
SG: No. 216

Cell: 4.795 4.795 4.795 Å, 60.00 60.00 60.00°
Atoms (fractional coordinates):
Hf 0.250 0.250 0.250
Zn 0.500 0.500 0.500
Pb 0.000 0.000 0.000
Cu 0.750 0.750 0.750